Record 1
RbLiTa2Hg at its PBEsol-relaxed geometry. Source: Alexandria, functional SCAN.

abc: 5.1396 5.1396 6.3116
angles: 90.00 90.00 90.00
Last column: nearest neighbours and their distance in Å.
Fractional coordinates of all 5 atoms:
Rb1 0.0000 0.0000 0.0000  2 Hg 3.16
Li1 0.5000 0.5000 0.0000  4 Rb 3.63, 8 Ta 4.07
Ta1 0.0000 0.5000 0.5000  2 Hg 2.57
Ta2 0.5000 0.0000 0.5000  2 Hg 2.57
Hg1 0.0000 0.0000 0.5000  4 Ta 2.57

Calculated values
DFT formation energy = 1.769 eV per atom
Space group = P4/mmm (123)
Crystal system = tetragonal
Size of the total moment = 0.42 μB per atom


Record 2
Dy4Ga12Ni at its PBEsol-relaxed geometry. Source: Alexandria, functional SCAN.

abc: 7.3067 7.3067 7.3067
angles: 109.47 109.47 109.47
Last column: nearest neighbours and their distance in Å.
Fractional coordinates of all 17 atoms:
Dy1 0.0000 0.0000 0.5000  12 Ga 2.98-3.00
Dy2 0.0000 0.5000 0.0000  12 Ga 2.98-3.00
Dy3 0.5000 0.0000 0.0000  12 Ga 2.98-3.00
Dy4 0.5000 0.5000 0.5000  12 Ga 2.98-3.00
Ga1 0.0000 0.2873 0.2873  1 Ni 2.42
Ga2 0.0000 0.7127 0.7127  1 Ni 2.42
Ga3 0.2500 0.5000 0.7500  8 Ga 2.77-2.98, 4 Dy 2.98
Ga4 0.2500 0.7500 0.5000  8 Ga 2.77-2.98, 4 Dy 2.98
Ga5 0.2873 0.0000 0.2873  1 Ni 2.42
Ga6 0.2873 0.2873 0.0000  1 Ni 2.42
Ga7 0.5000 0.2500 0.7500  8 Ga 2.77-2.98, 4 Dy 2.98
Ga8 0.5000 0.7500 0.2500  8 Ga 2.77-2.98, 4 Dy 2.98
Ga9 0.7127 0.0000 0.7127  1 Ni 2.42
Ga10 0.7127 0.7127 0.0000  1 Ni 2.42
Ga11 0.7500 0.2500 0.5000  8 Ga 2.77-2.98, 4 Dy 2.98
Ga12 0.7500 0.5000 0.2500  8 Ga 2.77-2.98, 4 Dy 2.98
Ni1 0.0000 0.0000 0.0000  6 Ga 2.42

Calculated values
DFT formation energy = -0.647 eV per atom
Space group = Im-3m (229)
Crystal system = cubic
Size of the total moment = 0.00 μB per atom


Record 3
Al2Tc2H at its PBEsol-relaxed geometry. Source: Alexandria, functional SCAN.

abc: 5.4500 5.4500 4.2514
angles: 90.00 90.00 90.00
Last column: nearest neighbours and their distance in Å.
Fractional coordinates of all 10 atoms:
Al1 0.1628 0.3372 0.0000  6 Tc 2.51-2.78, 1 Al 2.51
Al2 0.3372 0.8372 0.0000  6 Tc 2.51-2.78, 1 Al 2.51
Al3 0.6628 0.1628 0.0000  6 Tc 2.51-2.78, 1 Al 2.51
Al4 0.8372 0.6628 0.0000  6 Tc 2.51-2.78, 1 Al 2.51
Tc1 0.1646 0.6646 0.5000  2 H 2.04
Tc2 0.3354 0.1646 0.5000  2 H 2.04
Tc3 0.6646 0.8354 0.5000  2 H 2.04
Tc4 0.8354 0.3354 0.5000  2 H 2.04
H1 0.0000 0.0000 0.5000  4 Tc 2.04
H2 0.5000 0.5000 0.5000  4 Tc 2.04

Calculated values
Uncorrected energy = -17.86 eV per atom
Space group = P4/mbm (127)
Crystal system = tetragonal
Size of the total moment = 0.00 μB per atom


Among the records above, which one has the highest size of the total moment?
RbLiTa2Hg